Arrangement P

The following is a DFT calculation (PBE) of crystalline Ti2Tc at its relaxed geometry.

Geometry as POSCAR:
```
Ti2Tc
1.0
4.2753 0.0000 0.0000
-2.1376 3.7025 0.0000
0.0000 0.0000 10.3900
Ti Tc
6 3
Direct
0.0000 0.0000 0.2500
0.0000 0.0000 0.7500
0.3333 0.6667 0.4167
0.3333 0.6667 0.9167
0.6667 0.3333 0.0833
0.6667 0.3333 0.5833
0.0000 0.0000 0.0000
0.3333 0.6667 0.6667
0.6667 0.3333 0.3333
```

Computed properties:
total moment = 0.0 Bohr magnetons per cell
symmetry = R-3m



Arrangement Q

The following is a DFT calculation (PBE) of crystalline Ti2Tc at its relaxed geometry.

Geometry as POSCAR:
```
Ti2Tc
1.0
3.1436 0.0000 0.0000
0.0000 3.1436 0.0000
0.0000 0.0000 9.5747
Ti Tc
4 2
Direct
0.0000 0.0000 0.1524
0.0000 0.0000 0.8476
0.5000 0.5000 0.3476
0.5000 0.5000 0.6524
0.0000 0.0000 0.5000
0.5000 0.5000 0.0000
```

Computed properties:
total moment = 0.0 Bohr magnetons per cell
symmetry = I4/mmm



Arrangement R

The following is a DFT calculation (PBE) of crystalline Ti2Tc at its relaxed geometry.

Geometry as POSCAR:
```
Ti2Tc
1.0
6.9377 0.0000 0.0000
0.0000 3.1168 0.0000
0.0000 0.0000 9.0341
Ti Tc
8 4
Direct
0.0023 0.2500 0.1356
0.1485 0.2500 0.5820
0.3515 0.7500 0.0820
0.4977 0.7500 0.6356
0.5023 0.2500 0.3644
0.6485 0.2500 0.9180
0.8515 0.7500 0.4180
0.9977 0.7500 0.8644
0.1971 0.7500 0.3510
0.3029 0.2500 0.8510
0.6971 0.7500 0.1490
0.8029 0.2500 0.6490
```

Computed properties:
total moment = 0.0 Bohr magnetons per cell
symmetry = Pnma



Stability check: which of them is most stable? arrangement Q.